CaSc2P | PBE-GGA | optimized geometry

Results
Its symmetry is Imm2. The value obtained for the energy of formation is -472 meV/atom. The calculated total energy is -5.490 eV/atom. As for the magnetic moment: 1.093 μB/f.u.

```
CaSc2P
1.0
-1.730 1.987 7.412
1.730 -1.987 7.412
1.730 1.987 -7.412
Ca Sc P
1 2 1
direct
0.000 0.000 0.000 Ca
0.336 0.336 0.000 Sc
0.680 0.180 0.500 Sc
0.185 0.685 0.500 P
```

UCoPS | PBE-GGA | optimized geometry

Results
Its symmetry is P4/nmm. The calculated total energy is -7.877 eV/atom. As for the magnetic moment: 1.995 μB/f.u.

```
UCoPS
1.0
3.927 0.000 0.000
0.000 3.927 0.000
0.000 0.000 8.327
U Co P S
2 2 2 2
direct
0.250 0.250 0.224 U
0.750 0.750 0.776 U
0.250 0.750 0.500 Co
0.750 0.250 0.500 Co
0.250 0.250 0.643 P
0.750 0.750 0.357 P
0.250 0.750 0.000 S
0.750 0.250 0.000 S
```

YCd2Cl | PBE-GGA | optimized geometry

Results
Its symmetry is I-4m2. As for the polymorph energy (0 for the lowest one): 201 meV per atom. The calculated total energy is -2.983 eV/atom. As for the magnetic moment: 0.000 μB/f.u.

```
YCd2Cl
1.0
-2.307 2.307 4.582
2.307 -2.307 4.582
2.307 2.307 -4.582
Y Cd Cl
1 2 1
direct
0.000 0.000 0.000 Y
0.250 0.750 0.500 Cd
0.500 0.500 0.000 Cd
0.750 0.250 0.500 Cl
```

CeMg2Cu | PBE-GGA | optimized geometry

Results
Its symmetry is R3m. The value obtained for the energy of formation is 64 meV/atom. The calculated total energy is -3.240 eV/atom. As for the magnetic moment: 0.001 μB/f.u.

```
CeMg2Cu
1.0
1.532 0.884 10.167
-1.532 0.884 10.167
0.000 -1.768 10.167
Ce Mg Cu
1 2 1
direct
0.000 0.000 0.000 Ce
0.236 0.236 0.236 Mg
0.432 0.432 0.432 Mg
0.834 0.834 0.834 Cu
```

BaNbNi2Ge | PBE-GGA | optimized geometry

Results
Its symmetry is P4/mmm. The value obtained for the energy of formation is 2076 meV/atom. The calculated total energy is -3.559 eV/atom. As for the magnetic moment: 1.534 μB/f.u.

```
BaNbNi2Ge
1.0
4.740 0.000 0.000
0.000 4.740 0.000
0.000 0.000 5.478
Ba Nb Ni Ge
1 1 2 1
direct
0.000 0.000 0.000 Ba
0.000 0.000 0.500 Nb
0.000 0.500 0.000 Ni
0.500 0.000 0.000 Ni
0.500 0.500 0.500 Ge
```

AcThCo4 | PBE-GGA | optimized geometry

Results
Its symmetry is F-43m. The value obtained for the energy of formation is 14 meV/atom. As for the polymorph energy (0 for the lowest one): 92 meV per atom. The calculated total energy is -6.645 eV/atom. As for the magnetic moment: 1.118 μB/f.u.

```
AcThCo4
1.0
0.000 3.676 3.676
3.676 0.000 3.676
3.676 3.676 0.000
Ac Th Co
1 1 4
direct
0.000 0.000 0.000 Ac
0.250 0.250 0.250 Th
0.128 0.624 0.624 Co
0.624 0.128 0.624 Co
0.624 0.624 0.128 Co
0.624 0.624 0.624 Co
```

For the records above, the corresponding N(E_F) values read 4.03; 9.35; 2.57; 5.68; 5.82; 8.26 states/eV per cell.